# BaFeH2F8, relaxed, DFT GGA+U
data_BaFeH2F8
_chemical_formula_sum 'Ba1 Fe1 H2 F8'
_cell_length_a 5.1672
_cell_length_b 5.1780
_cell_length_c 7.3308
_cell_angle_alpha 75.97
_cell_angle_beta 75.80
_cell_angle_gamma 61.63
_space_group_name_H-M_alt 'P -1'
_space_group_IT_number 2
loop_
_space_group_symop_operation_xyz
'x,y,z'
'-x,-y,-z'
loop_
_atom_site_label
_atom_site_type_symbol
_atom_site_fract_x
_atom_site_fract_y
_atom_site_fract_z
_atom_site_occupancy
Ba1 Ba 0.0000 0.0000 0.0000 1
Fe1 Fe 0.0000 0.0000 0.5000 1
H1 H 0.2732 0.2751 0.2405 1
F1 F 0.2162 0.2182 0.4240 1
F2 F 0.2335 0.7607 0.6803 1
F3 F 0.2414 0.7680 0.3184 1
F4 F 0.3124 0.3139 0.0907 1
# * total DFT energy (no corrections): -56.1 eV per cell